VASP calculation (PBE) on an optimized crystal structure of AcGaAg.

magnetization: 0.00 μB/f.u.
Fermi-level density of states: 1.41 states/eV/f.u.
ΔH_f (0 K): -1.39 eV per formula unit

abc: 4.856 6.147 6.147
angles: 83.75 66.73 66.73
Sites, in units of the cell vectors:
Ac 0.000 0.615 0.385
Ac 0.500 0.183 0.817
Ga 0.186 0.793 0.835
Ga 0.814 0.165 0.207
Ag 0.286 0.026 0.402
Ag 0.714 0.598 0.974